Sr2Cu4AgGe3 | PBE-GGA | relaxed

Output
Energy of formation from the pure elements, eV/atom: -0.29
Density of states at the Fermi level, states/eV/cell: 3.04
DFT total energy, eV per formula unit: -39.33
Crystal system: tetragonal
Space-group type: P-4m2 (115)

abc: 4.3618 4.3618 10.1552
angles: 90.00 90.00 90.00
Last column: nearest neighbours and their distance in Å.
Fractional positions:
Cu 0.0000 0.5000 0.3649  3 Ge 2.45-2.58, 2 Ag 2.58
Cu 0.0000 0.0000 0.0000  4 Ge 2.51
Cu 0.5000 0.5000 0.0000  4 Ge 2.51
Cu 0.5000 0.0000 0.6351  3 Ge 2.45-2.58, 2 Ag 2.58
Sr 0.5000 0.0000 0.2439  8 Cu 3.30-3.32, 6 Ge 3.32-3.39, 2 Ag 3.39
Sr 0.0000 0.5000 0.7561  8 Cu 3.30-3.32, 6 Ge 3.32-3.39, 2 Ag 3.39
Ge 0.0000 0.0000 0.5000  4 Cu 2.58
Ge 0.5000 0.0000 0.8768  5 Cu 2.45-2.51
Ge 0.0000 0.5000 0.1232  5 Cu 2.45-2.51
Ag 0.5000 0.5000 0.5000  4 Cu 2.58